Arrangement i

DFT (PBE-GGA) results for an optimized crystal structure of K2P2PdS6.

Calculated values
Density of states at the Fermi level, states/eV/atom: 0.3138
Space group: No. 166
M_tot, μB per atom: 0.000

abc: 6.7547 6.7547 7.8316
angles: 64.45 64.45 60.00
Closest atoms and distances in Å follow each position.
Element x y z (fractional)
K: 0.7685 0.7685 0.6944  9 S 3.40-3.55
K: 0.2315 0.2315 0.3056  9 S 3.40-3.55
S: 0.7538 0.7538 0.2520  1 P 2.02
S: 0.2462 0.7597 0.7480  1 P 2.02
S: 0.2403 0.7538 0.2520  1 P 2.02
S: 0.2462 0.2462 0.7480  1 P 2.02
S: 0.7538 0.2403 0.2520  1 P 2.02
S: 0.7597 0.2462 0.7480  1 P 2.02
P: 0.4302 0.4302 0.7095  3 S 2.02
P: 0.5698 0.5698 0.2905  3 S 2.02
Pd: 0.0000 0.0000 0.0000  6 S 2.56

---

Arrangement ii

DFT (PBE-GGA) results for an optimized crystal structure of K2P2PdS6.

Calculated values
Space group: No. 62
M_tot, μB per atom: 0.000

abc: 7.2805 10.3035 15.9781
angles: 90.00 90.00 90.00
Closest atoms and distances in Å follow each position.
Element x y z (fractional)
S: 0.2500 0.0366 0.4099  1 P 1.98
S: 0.0171 0.1595 0.7690  1 P 1.99
S: 0.4829 0.1595 0.7690  1 P 1.99
S: 0.9829 0.8405 0.2310  1 P 1.99
S: 0.7500 0.4708 0.5921  1 P 2.15, 2 Pd 2.36
S: 0.5150 0.7711 0.9916  1 P 2.06
S: 0.7500 0.5366 0.0901  1 P 1.98
S: 0.5171 0.8405 0.2310  1 P 1.99
S: 0.9850 0.7289 0.4916  1 P 2.06
S: 0.0171 0.3405 0.2690  1 P 1.99
S: 0.9829 0.6595 0.7310  1 P 1.99
S: 0.0150 0.2289 0.0084  1 P 2.06
S: 0.7500 0.0292 0.0921  1 P 2.15, 2 Pd 2.36
S: 0.9850 0.7711 0.9916  1 P 2.06
S: 0.0150 0.2711 0.5084  1 P 2.06
S: 0.7500 0.9634 0.5901  1 P 1.98
S: 0.4829 0.3405 0.2690  1 P 1.99
S: 0.2500 0.4634 0.9099  1 P 1.98
S: 0.4850 0.2289 0.0084  1 P 2.06
S: 0.2500 0.9708 0.9079  1 P 2.15, 2 Pd 2.36
S: 0.5171 0.6595 0.7310  1 P 1.99
S: 0.4850 0.2711 0.5084  1 P 2.06
S: 0.2500 0.5292 0.4079  1 P 2.15, 2 Pd 2.36
S: 0.5150 0.7289 0.4916  1 P 2.06
K: 0.2500 0.9255 0.6153  9 S 3.43-3.84
K: 0.7500 0.5938 0.3168  7 S 3.34-3.67, 2 Pd 3.58, 1 P 3.61
K: 0.2500 0.0938 0.1832  7 S 3.34-3.67, 2 Pd 3.58, 1 P 3.61
K: 0.2500 0.5745 0.1153  9 S 3.43-3.84
K: 0.2500 0.4062 0.6832  7 S 3.34-3.67, 2 Pd 3.58, 1 P 3.61
K: 0.7500 0.0745 0.3847  9 S 3.43-3.84
K: 0.7500 0.4255 0.8847  9 S 3.43-3.84
K: 0.7500 0.9062 0.8168  7 S 3.34-3.67, 2 Pd 3.58, 1 P 3.61
P: 0.2500 0.1446 0.8334  3 S 1.99-2.15
P: 0.7500 0.7216 0.0562  3 S 1.98-2.06
P: 0.7500 0.8554 0.1666  3 S 1.99-2.15
P: 0.2500 0.2784 0.9438  3 S 1.98-2.06
P: 0.2500 0.2216 0.4438  3 S 1.98-2.06
P: 0.2500 0.3554 0.3334  3 S 1.99-2.15
P: 0.7500 0.6446 0.6666  3 S 1.99-2.15
P: 0.7500 0.7784 0.5562  3 S 1.98-2.06
Pd: 0.5000 0.5000 0.5000  4 S 2.36-2.37
Pd: 0.0000 0.0000 0.0000  4 S 2.36-2.37
Pd: 0.5000 0.0000 0.0000  4 S 2.36-2.37
Pd: 0.0000 0.5000 0.5000  4 S 2.36-2.37

---

Going by the energies, arrangement ii is most stable and the next is 0.188 eV/atom up.

---

Arrangement i

DFT (PBE-GGA) results for an optimized crystal structure of K6P2Pt.

Calculated values
Density of states at the Fermi level, states/eV/atom: 0.8810
Space group: No. 225
M_tot, μB per atom: 0.223

abc: 7.9078 7.9078 7.9078
angles: 60.00 60.00 60.00
Closest atoms and distances in Å follow each position.
Element x y z (fractional)
K: 0.7435 0.2565 0.7435  1 Pt 2.87
K: 0.2565 0.7435 0.2565  1 Pt 2.87
K: 0.2565 0.2565 0.7435  1 Pt 2.87
K: 0.2565 0.7435 0.7435  1 Pt 2.87
K: 0.7435 0.2565 0.2565  1 Pt 2.87
K: 0.7435 0.7435 0.2565  1 Pt 2.87
Pt: 0.0000 0.0000 0.0000  6 K 2.87
P: 0.2500 0.2500 0.2500  12 K 3.95
P: 0.7500 0.7500 0.7500  12 K 3.95

---

Arrangement ii

DFT (PBE-GGA) results for an optimized crystal structure of K6P2Pt.

Calculated values
Density of states at the Fermi level, states/eV/atom: 0.6503
Space group: No. 128
M_tot, μB per atom: 0.224

abc: 8.0120 8.0120 11.5957
angles: 90.00 90.00 90.00
Closest atoms and distances in Å follow each position.
Element x y z (fractional)
P: 0.5000 0.0000 0.7500  4 K 3.40
P: 0.0000 0.5000 0.2500  4 K 3.40
P: 0.0000 0.5000 0.7500  4 K 3.40
P: 0.5000 0.0000 0.2500  4 K 3.40
K: 0.5000 0.5000 0.2473  1 Pt 2.93
K: 0.8474 0.6604 0.0000  1 Pt 2.98
K: 0.0000 0.0000 0.7473  1 Pt 2.93
K: 0.6604 0.1526 0.0000  1 Pt 2.98
K: 0.1604 0.3474 0.5000  1 Pt 2.98
K: 0.8396 0.6526 0.5000  1 Pt 2.98
K: 0.3396 0.8474 0.0000  1 Pt 2.98
K: 0.5000 0.5000 0.7527  1 Pt 2.93
K: 0.3474 0.8396 0.5000  1 Pt 2.98
K: 0.1526 0.3396 0.0000  1 Pt 2.98
K: 0.6526 0.1604 0.5000  1 Pt 2.98
K: 0.0000 0.0000 0.2527  1 Pt 2.93
Pt: 0.5000 0.5000 0.5000  6 K 2.93-2.98
Pt: 0.0000 0.0000 0.0000  6 K 2.93-2.98

---

Arrangement iii

DFT (PBE-GGA) results for an optimized crystal structure of K6P2Pt.

Calculated values
Density of states at the Fermi level, states/eV/atom: 1.1398
Space group: No. 164
M_tot, μB per atom: 0.231

abc: 8.5758 8.5758 5.1920
angles: 90.00 90.00 120.00
Closest atoms and distances in Å follow each position.
Element x y z (fractional)
K: 0.8102 0.1898 0.7469  1 Pt 3.11, 2 P 3.35-3.37
K: 0.1898 0.3796 0.2531  1 Pt 3.11, 2 P 3.35-3.37
K: 0.3796 0.1898 0.7469  1 Pt 3.11, 2 P 3.35-3.37
K: 0.8102 0.6204 0.7469  1 Pt 3.11, 2 P 3.35-3.37
K: 0.6204 0.8102 0.2531  1 Pt 3.11, 2 P 3.35-3.37
K: 0.1898 0.8102 0.2531  1 Pt 3.11, 2 P 3.35-3.37
P: 0.3333 0.6667 0.7514  6 K 3.35-3.37
P: 0.6667 0.3333 0.2486  6 K 3.35-3.37
Pt: 0.0000 0.0000 0.0000  6 K 3.11

---

Arrangement iv

DFT (PBE-GGA) results for an optimized crystal structure of K6P2Pt.

Calculated values
Density of states at the Fermi level, states/eV/atom: 0.5966
Space group: No. 166
M_tot, μB per atom: 0.000

abc: 5.7084 5.7084 10.5620
angles: 74.32 74.32 60.00
Closest atoms and distances in Å follow each position.
Element x y z (fractional)
Pt: 0.0000 0.0000 0.0000  2 P 2.39
K: 0.1866 0.1866 0.4401  1 P 3.23, 4 K 3.43-3.51
K: 0.3005 0.3005 0.0985  5 K 3.43-3.62, 3 Pt 3.44, 3 P 3.58
K: 0.5844 0.5844 0.2469  3 P 3.30, 4 K 3.47-3.62
K: 0.8134 0.8134 0.5599  1 P 3.23, 4 K 3.43-3.51
K: 0.4156 0.4156 0.7531  3 P 3.30, 4 K 3.47-3.62
K: 0.6995 0.6995 0.9015  5 K 3.43-3.62, 3 Pt 3.44, 3 P 3.58
P: 0.9206 0.9206 0.2381  1 Pt 2.39
P: 0.0794 0.0794 0.7619  1 Pt 2.39

---

Going by the energies, arrangement iv is most stable and the next is 0.310 eV/atom up.

---

Arrangement i

DFT (PBE-GGA) results for an optimized crystal structure of K2RbP2.

Calculated values
Density of states at the Fermi level, states/eV/atom: 0.3691
Space group: No. 139
M_tot, μB per atom: 0.200

abc: 5.2284 5.2284 7.2685
angles: 68.92 68.92 90.00
Closest atoms and distances in Å follow each position.
Element x y z (fractional)
P: 0.4135 0.4135 0.1729  1 P 2.16
P: 0.5865 0.5865 0.8271  1 P 2.16
K: 0.7500 0.2500 0.5000  4 P 3.32, 4 K 3.70
K: 0.2500 0.7500 0.5000  4 P 3.32, 4 K 3.70
Rb: 0.0000 0.0000 0.0000  8 P 3.85, 8 K 4.08

---

Arrangement ii

DFT (PBE-GGA) results for an optimized crystal structure of K2RbP2.

Calculated values
Density of states at the Fermi level, states/eV/atom: 0.4899
Space group: No. 127
M_tot, μB per atom: 0.179

abc: 8.3887 8.3887 4.9923
angles: 90.00 90.00 90.00
Closest atoms and distances in Å follow each position.
Element x y z (fractional)
P: 0.0914 0.4086 0.0000  1 P 2.17
P: 0.4086 0.9086 0.0000  1 P 2.17
P: 0.5914 0.0914 0.0000  1 P 2.17
P: 0.9086 0.5914 0.0000  1 P 2.17
Rb: 0.5000 0.5000 0.0000  4 P 3.51
Rb: 0.0000 0.0000 0.0000  4 P 3.51
K: 0.1644 0.6644 0.5000  4 P 3.35
K: 0.8356 0.3356 0.5000  4 P 3.35
K: 0.6644 0.8356 0.5000  4 P 3.35
K: 0.3356 0.1644 0.5000  4 P 3.35

---

Arrangement iii

DFT (PBE-GGA) results for an optimized crystal structure of K2RbP2.

Calculated values
Density of states at the Fermi level, states/eV/atom: 0.8773
Space group: No. 12
M_tot, μB per atom: 0.185

abc: 5.3285 7.1184 10.2337
angles: 82.29 74.91 68.02
Closest atoms and distances in Å follow each position.
Element x y z (fractional)
Rb: 0.8081 0.0521 0.3318  5 P 3.31-3.65
Rb: 0.1919 0.9479 0.6682  5 P 3.31-3.65
P: 0.0622 0.8425 0.0332  1 P 2.16
P: 0.9378 0.1575 0.9668  1 P 2.16
P: 0.9017 0.6386 0.5579  1 P 2.20
P: 0.0983 0.3614 0.4421  1 P 2.20
K: 0.7184 0.6632 0.9000  4 P 3.22-3.39
K: 0.2816 0.3368 0.1000  4 P 3.22-3.39
K: 0.5236 0.6261 0.3267  4 P 3.36-3.51, 1 K 3.75
K: 0.4764 0.3739 0.6733  4 P 3.36-3.51, 1 K 3.75

---

Going by the energies, arrangement ii is most stable and the next is 0.009 eV/atom up.

---

Arrangement i

DFT (PBE-GGA) results for an optimized crystal structure of KRb3P.

Calculated values
Density of states at the Fermi level, states/eV/atom: 2.2943
Space group: No. 221
M_tot, μB per atom: 0.200

abc: 7.4169 7.4169 7.4169
angles: 90.00 90.00 90.00
Closest atoms and distances in Å follow each position.
Element x y z (fractional)
Rb: 0.0000 0.0000 0.5000  2 K 3.71
Rb: 0.0000 0.5000 0.0000  2 K 3.71
Rb: 0.5000 0.0000 0.0000  2 K 3.71
K: 0.0000 0.0000 0.0000  6 Rb 3.71
P: 0.5000 0.5000 0.5000  12 Rb 5.24

---

Arrangement ii

DFT (PBE-GGA) results for an optimized crystal structure of KRb3P.

Calculated values
Density of states at the Fermi level, states/eV/atom: 0.5476
Space group: No. 221
M_tot, μB per atom: 0.199

abc: 6.8066 6.8066 6.8066
angles: 90.00 90.00 90.00
Closest atoms and distances in Å follow each position.
Element x y z (fractional)
P: 0.0000 0.0000 0.0000  6 Rb 3.40
Rb: 0.5000 0.0000 0.0000  2 P 3.40
Rb: 0.0000 0.0000 0.5000  2 P 3.40
Rb: 0.0000 0.5000 0.0000  2 P 3.40
K: 0.5000 0.5000 0.5000  12 Rb 4.81

---

Going by the energies, arrangement ii is most stable and the next is 0.719 eV/atom up.